Below is an optimized crystal structure of YGaS2Cl, with properties calculated at the GGA-PBE level.

abc: 5.2793 5.2793 5.3488
angles: 90.00 90.00 90.00
Closest atoms and distances in Å follow each position.
Space group P4/mmm (No. 123)
Unique sites:
Y: 0.0000 0.0000 0.0000  4 S 2.64, 2 Cl 2.67
Ga: 0.5000 0.5000 0.5000  4 Cl 3.73, 8 S 3.76
S: 0.0000 0.5000 0.0000  2 Y 2.64
Cl: 0.0000 0.0000 0.5000  2 Y 2.67

Below is an optimized crystal structure of YGaSCl2, with properties calculated at the GGA-PBE level.

abc: 4.8686 4.8686 4.8923
angles: 90.00 90.00 90.00
Closest atoms and distances in Å follow each position.
Space group P4/mmm (No. 123)
Unique sites:
Y: 0.0000 0.0000 0.0000  4 S 3.44, 8 Cl 3.45
Ga: 0.5000 0.5000 0.5000  4 Cl 2.43, 2 S 2.45
S: 0.5000 0.5000 0.0000  2 Ga 2.45
Cl: 0.0000 0.5000 0.5000  2 Ga 2.43

Below is an optimized crystal structure of ZrGaS2Cl, with properties calculated at the GGA-PBE level.

abc: 5.0169 5.0169 5.1040
angles: 90.00 90.00 90.00
Closest atoms and distances in Å follow each position.
Space group P4/mmm (No. 123)
Unique sites:
Zr: 0.0000 0.0000 0.0000  4 S 2.51, 2 Cl 2.55
Ga: 0.5000 0.5000 0.5000  4 Cl 3.55, 8 S 3.58
S: 0.0000 0.5000 0.0000  2 Zr 2.51
Cl: 0.0000 0.0000 0.5000  2 Zr 2.55

Below is an optimized crystal structure of ZrGaS2Cl, with properties calculated at the GGA-PBE level.

abc: 4.7354 4.7354 4.6110
angles: 90.00 90.00 90.00
Closest atoms and distances in Å follow each position.
Space group P4/mmm (No. 123)
Unique sites:
Zr: 0.0000 0.0000 0.0000  8 S 3.30, 4 Cl 3.35
Ga: 0.5000 0.5000 0.5000  2 Cl 2.31, 4 S 2.37
S: 0.0000 0.5000 0.5000  2 Ga 2.37
Cl: 0.5000 0.5000 0.0000  2 Ga 2.31

Below is an optimized crystal structure of GaSbCl3, with properties calculated at the GGA-PBE level.

abc: 5.4937 5.4937 5.4937
angles: 90.00 90.00 90.00
Closest atoms and distances in Å follow each position.
Space group Pm-3m (No. 221)
Unique sites:
Ga: 0.0000 0.0000 0.0000  12 Cl 3.88
Sb: 0.5000 0.5000 0.5000  6 Cl 2.75
Cl: 0.0000 0.5000 0.5000  2 Sb 2.75

Below is an optimized crystal structure of GaSb3Cl, with properties calculated at the GGA-PBE level.

abc: 5.4041 5.4041 5.4041
angles: 90.00 90.00 90.00
Closest atoms and distances in Å follow each position.
Space group Pm-3m (No. 221)
Unique sites:
Ga: 0.0000 0.0000 0.0000  12 Sb 3.82
Sb: 0.0000 0.5000 0.5000  2 Cl 2.70
Cl: 0.5000 0.5000 0.5000  6 Sb 2.70

| no. | N(E_F) (states/eV/atom) | energy (eV/atom) |
| --- | --- | --- |
| 1 | 0.650 | -4.864 |
| 2 | 0.584 | -4.137 |
| 3 | 0.091 | -5.295 |
| 4 | 0.769 | -4.495 |
| 5 | 0.673 | -2.979 |
| 6 | 1.354 | -2.722 |